Entry 1:
This record from Alexandria describes a geometry-optimized LiErAu2 structure. The functional is PBE.

Total moment   0.00 μB/cell
V   20.08 Å³/atom
ΔE to the lowest computed polymorph   20 kJ/mol of formula units
E_form   -671.2 meV per atom

Cell: 4.733 4.733 3.586 Å, 90.00 90.00 90.00°
Space group P4/mmm (No. 123)
One atom of each set of equivalent atoms:
Li 0.000 0.000 0.000
Er 0.500 0.500 0.000
Au 0.000 0.500 0.500

=====

Entry 2:
This record from Alexandria describes a geometry-optimized Li2ErAu4 structure. The functional is PBE.

Total moment   0.00 μB/cell
V   19.55 Å³/atom
E_form   -547.8 meV per atom

Cell: 5.560 6.616 14.878 Å, 90.00 90.00 90.00°
Space group Fmmm (No. 69)
One atom of each set of equivalent atoms:
Li 0.000 0.000 0.244
Er 0.000 0.000 0.500
Au 0.250 0.250 0.136

=====

Entry 3:
This record from Alexandria describes a geometry-optimized Li2Er3Au3 structure. The functional is PBE.

Total moment   0.00 μB/cell
V   21.68 Å³/atom
E_form   -678.2 meV per atom

Cell: 8.4919 8.4919 5.5536 Å, 90.00 90.00 120.00°
Space group P6_3/mcm (No. 193)
One atom of each set of equivalent atoms:
Li 0.3333 0.6667 0.0000
Er 0.0000 0.2528 0.2500
Au 0.0000 0.3963 0.7500

=====

Entry 4:
This record from Alexandria describes a geometry-optimized Li5ErAu6 structure. The functional is PBE.

Total moment   0.00 μB/cell
V   17.03 Å³/atom
E_form   -595.4 meV per atom

Cell: 4.615 6.464 13.698 Å, 90.00 90.00 90.00°
Space group Immm (No. 71)
One atom of each set of equivalent atoms:
Li 0.000 0.000 0.000
Li 0.000 0.000 0.336
Li 0.000 0.500 0.330
Er 0.000 0.500 0.000
Au 0.000 0.239 0.173
Au 0.000 0.273 0.500